(1)
LiAl2AsW PBE optimized geometry; DFT total energy = -4.38 eV/atom; size of the total moment = 0.25 μB per cell; formation enthalpy at 0 K = 1021 meV/atom; Fermi-level density of states = 4.0 states/eV per cell
1.0
4.4786 0.0000 0.0000
0.0000 4.0926 0.0000
0.0000 0.0000 4.4786
Al W As Li
2 1 1 1
direct
0.5000 0.0000 0.0000
0.0000 0.0000 0.5000
0.5000 0.5000 0.5000
0.0000 0.5000 0.0000
0.0000 0.0000 0.0000



(2)
Lu2AlAs PBE optimized geometry; DFT total energy = -5.10 eV/atom; size of the total moment = 0.00 μB per cell; formation enthalpy at 0 K = -738 meV/atom; Fermi-level density of states = 1.3 states/eV per cell
1.0
3.8468 0.0000 0.0000
1.9234 3.3314 0.0000
1.9234 1.1105 7.6460
As Lu Al
1 2 1
direct
0.0000 0.0000 0.0000
0.7399 0.7399 0.7804
0.2601 0.2601 0.2196
0.5000 0.5000 0.5000



(3)
Mg2AlAs2 PBE optimized geometry; DFT total energy = -3.34 eV/atom; excess energy over the best structure of this formula in the dataset = 127 meV per atom; size of the total moment = 0.00 μB per cell; formation enthalpy at 0 K = -94 meV/atom; Fermi-level density of states = 3.1 states/eV per cell
1.0
-2.7834 -2.5171 -2.8773
3.3595 0.0881 -3.3269
2.2265 -5.4670 -1.2572
Mg As Al
2 2 1
direct
0.7500 0.2500 0.5000
0.2500 0.7500 0.5000
0.3764 0.3764 0.2473
0.6236 0.6236 0.7527
0.0000 0.0000 0.0000